#i
The following is a GGA-PBE calculation of an optimized crystal structure of BaAl2ZnGa, from Alexandria.

Computed properties:
Magnetic moment: 0.00 μB/atom
SG: No. 119

Structure (POSCAR):
```
BaAl2ZnGa
1.0
4.5829 0.0000 0.0000
0.0000 4.5829 0.0000
-2.2914 -2.2914 5.5346
Ba Al Zn Ga
1 2 1 1
direct
0.0000 0.0000 0.0000 Ba
0.6226 0.6226 0.2452 Al
0.3774 0.3774 0.7548 Al
0.7500 0.2500 0.5000 Zn
0.2500 0.7500 0.5000 Ga
```


#ii
The following is a GGA-PBE calculation of an optimized crystal structure of BaAl2ZnGa, from Alexandria.

Computed properties:
Magnetic moment: 0.00 μB/atom
SG: No. 123

Structure (POSCAR):
```
BaAl2ZnGa
1.0
5.0043 0.0000 0.0000
0.0000 5.1523 0.0000
0.0000 0.0000 5.0043
Zn Ba Ga Al
1 1 1 2
direct
0.0000 0.0000 0.0000 Zn
0.5000 0.5000 0.5000 Ba
0.0000 0.5000 0.0000 Ga
0.0000 0.0000 0.5000 Al
0.5000 0.0000 0.0000 Al
```


#i ends up most stable, edging out the next structure by 382 meV per atom.


#i
The following is a GGA-PBE calculation of an optimized crystal structure of Ba3Al2Ge2, from Alexandria.

Computed properties:
Magnetic moment: 0.00 μB/atom
SG: No. 71

Structure (POSCAR):
```
Ba3Al2Ge2
1.0
10.6458 -0.0064 -0.0017
8.5037 6.4046 0.0017
-9.3988 -3.7257 3.3338
Ge Ba Al
2 3 2
direct
0.3651 0.3651 0.0000 Ge
0.6349 0.6349 0.0000 Ge
0.8163 0.8163 0.0000 Ba
0.0000 0.5000 0.5000 Ba
0.1837 0.1837 0.0000 Ba
0.4355 0.9355 0.5000 Al
0.5645 0.0645 0.5000 Al
```


#ii
The following is a GGA-PBE calculation of an optimized crystal structure of Ba3Al2Ge2, from Alexandria.

Computed properties:
Magnetic moment: 0.00 μB/atom
SG: No. 12

Structure (POSCAR):
```
Ba3Al2Ge2
1.0
-2.8446 -1.0553 3.7667
5.4752 -3.9386 -0.0739
1.3716 7.5823 3.1601
Ba Al Ge
3 2 2
direct
0.3227 0.6454 0.3897 Ba
0.6773 0.3546 0.6103 Ba
0.5000 0.0000 0.0000 Ba
0.8011 0.6022 0.0720 Al
0.1989 0.3978 0.9280 Al
0.9951 0.9902 0.6605 Ge
0.0049 0.0098 0.3395 Ge
```


#i ends up most stable, edging out the next structure by 85 meV per atom.


#i
The following is a GGA-PBE calculation of an optimized crystal structure of BaAlH, from Alexandria.

Computed properties:
Magnetic moment: 0.00 μB/atom
SG: No. 60

Structure (POSCAR):
```
BaAlH
1.0
7.0465 0.0000 0.0000
0.0000 6.9789 0.0000
0.0000 0.0000 12.8728
H Ba Al
8 8 8
direct
0.4107 0.0275 0.3287 H
0.4107 0.4725 0.6713 H
0.0893 0.5275 0.1713 H
0.0893 0.9725 0.8287 H
0.5893 0.9725 0.6713 H
0.5893 0.5275 0.3287 H
0.9107 0.4725 0.8287 H
0.9107 0.0275 0.1713 H
0.7555 0.1654 0.3514 Ba
0.7555 0.3346 0.6486 Ba
0.7445 0.6654 0.1486 Ba
0.7445 0.8346 0.8514 Ba
0.2445 0.8346 0.6486 Ba
0.2445 0.6654 0.3514 Ba
0.2555 0.3346 0.8514 Ba
0.2555 0.1654 0.1486 Ba
0.7551 0.1466 0.0814 Al
0.7551 0.3534 0.9186 Al
0.7449 0.6466 0.4186 Al
0.7449 0.8534 0.5814 Al
0.2449 0.8534 0.9186 Al
0.2449 0.6466 0.0814 Al
0.2551 0.3534 0.5814 Al
0.2551 0.1466 0.4186 Al
```


#ii
The following is a GGA-PBE calculation of an optimized crystal structure of BaAlH, from Alexandria.

Computed properties:
Magnetic moment: 0.00 μB/atom
SG: No. 51

Structure (POSCAR):
```
BaAlH
1.0
-2.7702 -0.3114 2.1179
2.6782 -1.2453 3.3207
0.9141 8.4755 2.4421
Ba Al H
2 2 2
direct
0.3117 0.7162 0.0809 Ba
0.3116 0.2162 0.7121 Ba
0.8116 0.2162 0.3322 Al
0.8116 0.7163 0.4607 Al
0.8116 0.2161 0.9847 H
0.8115 0.7161 0.8080 H
```


#ii ends up most stable, edging out the next structure by 48 meV per atom.


#i
The following is a GGA-PBE calculation of an optimized crystal structure of Ba2AlInH, from Alexandria.

Computed properties:
Magnetic moment: 0.00 μB/atom
SG: No. 123

Structure (POSCAR):
```
Ba2AlInH
1.0
5.8123 0.0000 0.0000
0.0000 5.8123 0.0000
0.0000 0.0000 4.3290
H Al Ba In
1 1 2 1
direct
0.0000 0.0000 0.0000 H
0.0000 0.0000 0.5000 Al
0.0000 0.5000 0.0000 Ba
0.5000 0.0000 0.0000 Ba
0.5000 0.5000 0.5000 In
```


#ii
The following is a GGA-PBE calculation of an optimized crystal structure of Ba2AlInH, from Alexandria.

Computed properties:
Magnetic moment: 0.00 μB/atom
SG: No. 123

Structure (POSCAR):
```
Ba2AlInH
1.0
6.5495 0.0000 0.0000
0.0000 5.0026 0.0000
0.0000 0.0000 6.5495
H Al Ba In
1 1 2 1
direct
0.5000 0.5000 0.5000 H
0.0000 0.0000 0.0000 Al
0.0000 0.0000 0.5000 Ba
0.5000 0.0000 0.0000 Ba
0.0000 0.5000 0.0000 In
```


#i ends up most stable, edging out the next structure by 452 meV per atom.


#i
The following is a GGA-PBE calculation of an optimized crystal structure of Ba2MgAlH, from Alexandria.

Computed properties:
Magnetic moment: 0.00 μB/atom
SG: No. 123

Structure (POSCAR):
```
Ba2MgAlH
1.0
-0.4525 5.6171 1.4004
-3.4796 0.8587 -4.5687
-3.4736 -0.8973 2.4769
H Mg Ba Al
1 1 2 1
direct
0.0000 0.0000 0.0000 H
0.5000 0.5000 0.5000 Mg
0.0000 0.5000 0.0000 Ba
0.5000 0.0000 0.0000 Ba
0.0000 0.0000 0.5000 Al
```


#ii
The following is a GGA-PBE calculation of an optimized crystal structure of Ba2MgAlH, from Alexandria.

Computed properties:
Magnetic moment: 0.00 μB/atom
SG: No. 123

Structure (POSCAR):
```
Ba2MgAlH
1.0
5.6295 0.0000 0.0000
0.0000 5.6295 0.0000
0.0000 0.0000 4.5763
H Mg Ba Al
1 1 2 1
direct
0.0000 0.0000 0.0000 H
0.0000 0.0000 0.5000 Mg
0.0000 0.5000 0.0000 Ba
0.5000 0.0000 0.0000 Ba
0.5000 0.5000 0.5000 Al
```


#ii ends up most stable, edging out the next structure by 24 meV per atom.


#i
The following is a GGA-PBE calculation of an optimized crystal structure of Ba2NaAlH, from Alexandria.

Computed properties:
Magnetic moment: 0.00 μB/atom
SG: No. 123

Structure (POSCAR):
```
Ba2NaAlH
1.0
-4.0538 2.3064 -3.3583
-0.1226 -4.8045 -3.1516
-3.2746 -1.7300 2.7646
Na Ba H Al
1 2 1 1
direct
0.0000 0.0000 0.5000 Na
0.0000 0.5000 0.0000 Ba
0.5000 0.0000 0.0000 Ba
0.0000 0.0000 0.0000 H
0.5000 0.5000 0.5000 Al
```


#ii
The following is a GGA-PBE calculation of an optimized crystal structure of Ba2NaAlH, from Alexandria.

Computed properties:
Magnetic moment: 0.08 μB/atom
SG: No. 123

Structure (POSCAR):
```
Ba2NaAlH
1.0
5.8909 0.0000 0.0000
0.0000 5.8909 0.0000
0.0000 0.0000 4.4384
Na Ba H Al
1 2 1 1
direct
0.5000 0.5000 0.5000 Na
0.0000 0.5000 0.0000 Ba
0.5000 0.0000 0.0000 Ba
0.0000 0.0000 0.0000 H
0.0000 0.0000 0.5000 Al
```


#i ends up most stable, edging out the next structure by 96 meV per atom.


#i
The following is a GGA-PBE calculation of an optimized crystal structure of BaHf3Al, from Alexandria.

Computed properties:
Magnetic moment: 0.00 μB/atom
SG: No. 221

Structure (POSCAR):
```
BaHf3Al
1.0
5.2289 0.0000 0.0000
0.0000 5.2289 0.0000
0.0000 0.0000 5.2289
Hf Ba Al
3 1 1
direct
0.0000 0.5000 0.0000 Hf
0.0000 0.0000 0.5000 Hf
0.5000 0.0000 0.0000 Hf
0.5000 0.5000 0.5000 Ba
0.0000 0.0000 0.0000 Al
```


#ii
The following is a GGA-PBE calculation of an optimized crystal structure of BaHf3Al, from Alexandria.

Computed properties:
Magnetic moment: 0.15 μB/atom
SG: No. 221

Structure (POSCAR):
```
BaHf3Al
1.0
5.2562 0.0000 0.0000
0.0000 5.2562 0.0000
0.0000 0.0000 5.2562
Hf Ba Al
3 1 1
direct
0.0000 0.5000 0.0000 Hf
0.0000 0.0000 0.5000 Hf
0.5000 0.0000 0.0000 Hf
0.0000 0.0000 0.0000 Ba
0.5000 0.5000 0.5000 Al
```


#i ends up most stable, edging out the next structure by 1287 meV per atom.


#i
The following is a GGA-PBE calculation of an optimized crystal structure of BaHfAl3, from Alexandria.

Computed properties:
Magnetic moment: 0.24 μB/atom
SG: No. 221

Structure (POSCAR):
```
BaHfAl3
1.0
5.3826 0.0000 0.0000
0.0000 5.3826 0.0000
0.0000 0.0000 5.3826
Hf Ba Al
1 1 3
direct
0.5000 0.5000 0.5000 Hf
0.0000 0.0000 0.0000 Ba
0.0000 0.5000 0.0000 Al
0.0000 0.0000 0.5000 Al
0.5000 0.0000 0.0000 Al
```


#ii
The following is a GGA-PBE calculation of an optimized crystal structure of BaHfAl3, from Alexandria.

Computed properties:
Magnetic moment: 0.17 μB/atom
SG: No. 221

Structure (POSCAR):
```
BaHfAl3
1.0
5.3389 0.0000 0.0000
0.0000 5.3389 0.0000
0.0000 0.0000 5.3389
Hf Ba Al
1 1 3
direct
0.0000 0.0000 0.0000 Hf
0.5000 0.5000 0.5000 Ba
0.0000 0.5000 0.0000 Al
0.0000 0.0000 0.5000 Al
0.5000 0.0000 0.0000 Al
```


#ii ends up most stable, edging out the next structure by 1575 meV per atom.


#i
The following is a GGA-PBE calculation of an optimized crystal structure of BaHfAl2, from Alexandria.

Computed properties:
Magnetic moment: 0.38 μB/atom
SG: No. 122

Structure (POSCAR):
```
BaHfAl2
1.0
5.2370 0.0000 0.0000
0.0000 5.2370 0.0000
2.6185 2.6185 9.7874
Hf Ba Al
2 2 4
direct
0.0000 0.0000 0.0000 Hf
0.7500 0.2500 0.5000 Hf
0.5000 0.5000 0.0000 Ba
0.2500 0.7500 0.5000 Ba
0.8334 0.1250 0.2500 Al
0.9166 0.6250 0.2500 Al
0.3750 0.1666 0.7500 Al
0.8750 0.0834 0.7500 Al
```


#ii
The following is a GGA-PBE calculation of an optimized crystal structure of BaHfAl2, from Alexandria.

Computed properties:
Magnetic moment: 0.00 μB/atom
SG: No. 225

Structure (POSCAR):
```
BaHfAl2
1.0
2.7433 -2.5949 3.5779
2.2201 2.5679 3.9417
-1.8645 -0.5292 4.8274
Hf Ba Al
1 1 2
direct
0.5000 0.5000 0.5000 Hf
0.0000 0.0000 0.0000 Ba
0.2500 0.2500 0.2500 Al
0.7500 0.7500 0.7500 Al
```


#ii ends up most stable, edging out the next structure by 270 meV per atom.


#i
The following is a GGA-PBE calculation of an optimized crystal structure of Ba2Al2Hg, from Alexandria.

Computed properties:
Magnetic moment: 0.00 μB/atom
SG: No. 139

Structure (POSCAR):
```
Ba2Al2Hg
1.0
-3.0302 -0.5423 5.9912
-4.9000 -3.6692 -2.8104
-1.8993 -5.4339 2.3339
Al Hg Ba
2 1 2
direct
0.3437 0.3437 0.3125 Al
0.6563 0.6563 0.6875 Al
0.0000 0.0000 0.0000 Hg
0.7500 0.2500 0.5000 Ba
0.2500 0.7500 0.5000 Ba
```


#ii
The following is a GGA-PBE calculation of an optimized crystal structure of Ba2Al2Hg, from Alexandria.

Computed properties:
Magnetic moment: 0.00 μB/atom
SG: No. 127

Structure (POSCAR):
```
Ba2Al2Hg
1.0
7.5343 0.0000 0.0000
0.0000 7.5343 0.0000
0.0000 0.0000 5.5294
Al Hg Ba
4 2 4
direct
0.3730 0.8730 0.0000 Al
0.8730 0.6270 0.0000 Al
0.6270 0.1270 0.0000 Al
0.1270 0.3730 0.0000 Al
0.0000 0.0000 0.0000 Hg
0.5000 0.5000 0.0000 Hg
0.1770 0.6770 0.5000 Ba
0.6770 0.8230 0.5000 Ba
0.8230 0.3230 0.5000 Ba
0.3230 0.1770 0.5000 Ba
```


#ii ends up most stable, edging out the next structure by 113 meV per atom.


#i
The following is a GGA-PBE calculation of an optimized crystal structure of BaLi2AlHg, from Alexandria.

Computed properties:
Magnetic moment: 0.00 μB/atom
SG: No. 123

Structure (POSCAR):
```
BaLi2AlHg
1.0
-1.5656 -3.6500 -3.3986
4.9873 -1.1642 -1.0472
-0.0259 -3.5708 3.8468
Al Li Hg Ba
1 2 1 1
direct
0.0000 0.0000 0.0000 Al
0.0000 0.5000 0.0000 Li
0.5000 0.0000 0.0000 Li
0.0000 0.0000 0.5000 Hg
0.5000 0.5000 0.5000 Ba
```


#ii
The following is a GGA-PBE calculation of an optimized crystal structure of BaLi2AlHg, from Alexandria.

Computed properties:
Magnetic moment: 0.00 μB/atom
SG: No. 123

Structure (POSCAR):
```
BaLi2AlHg
1.0
-4.2017 -2.4151 1.8321
2.1239 -5.5329 -2.4224
2.4970 -0.9819 4.4321
Al Li Hg Ba
1 2 1 1
direct
0.5000 0.5000 0.5000 Al
0.0000 0.0000 0.5000 Li
0.5000 0.0000 0.0000 Li
0.0000 0.0000 0.0000 Hg
0.0000 0.5000 0.0000 Ba
```


#i ends up most stable, edging out the next structure by 289 meV per atom.


#i
The following is a GGA-PBE calculation of an optimized crystal structure of Ba3AlI, from Alexandria.

Computed properties:
Magnetic moment: 0.00 μB/atom
SG: No. 221

Structure (POSCAR):
```
Ba3AlI
1.0
-2.4402 4.6692 4.0058
3.1471 -2.7554 5.1289
5.2861 3.7958 -1.2043
I Ba Al
1 3 1
direct
0.5000 0.5000 0.5000 I
0.0000 0.5000 0.0000 Ba
0.0000 0.0000 0.5000 Ba
0.5000 0.0000 0.0000 Ba
0.0000 0.0000 0.0000 Al
```


#ii
The following is a GGA-PBE calculation of an optimized crystal structure of Ba3AlI, from Alexandria.

Computed properties:
Magnetic moment: 0.10 μB/atom
SG: No. 11

Structure (POSCAR):
```
Ba3AlI
1.0
4.6008 0.0000 0.0000
0.0000 9.9053 -3.7410
0.0000 -0.1625 10.2888
Ba Al I
6 2 2
direct
0.2500 0.6245 0.3187 Ba
0.7500 0.3755 0.6813 Ba
0.2500 0.0243 0.6997 Ba
0.7500 0.2476 0.0676 Ba
0.7500 0.9757 0.3003 Ba
0.2500 0.7524 0.9324 Ba
0.7500 0.5721 0.0534 Al
0.2500 0.4279 0.9466 Al
0.7500 0.7029 0.6303 I
0.2500 0.2971 0.3697 I
```


#ii ends up most stable, edging out the next structure by 295 meV per atom.


#i
The following is a GGA-PBE calculation of an optimized crystal structure of BaAlSb2I, from Alexandria.

Computed properties:
Magnetic moment: 0.00 μB/atom
SG: No. 123

Structure (POSCAR):
```
BaAlSb2I
1.0
-0.0092 5.1773 -1.0915
-4.2324 -0.6622 -3.1056
-3.7907 1.0358 4.9453
I Sb Ba Al
1 2 1 1
direct
0.0000 0.0000 0.5000 I
0.0000 0.5000 0.0000 Sb
0.5000 0.0000 0.0000 Sb
0.5000 0.5000 0.5000 Ba
0.0000 0.0000 0.0000 Al
```


#ii
The following is a GGA-PBE calculation of an optimized crystal structure of BaAlSb2I, from Alexandria.

Computed properties:
Magnetic moment: 0.38 μB/atom
SG: No. 123

Structure (POSCAR):
```
BaAlSb2I
1.0
6.5178 0.0000 0.0000
0.0000 6.5178 0.0000
0.0000 0.0000 6.5999
I Sb Ba Al
1 2 1 1
direct
0.0000 0.0000 0.5000 I
0.0000 0.5000 0.0000 Sb
0.5000 0.0000 0.0000 Sb
0.0000 0.0000 0.0000 Ba
0.5000 0.5000 0.5000 Al
```


#i ends up most stable, edging out the next structure by 972 meV per atom.